## w
# Ga2Sb2P | the Alexandria database | GGA-PBE | relaxed
data_Ga2Sb2P
_symmetry_space_group_name_H-M 'P 1'
_symmetry_Int_Tables_number 1
_symmetry_space_group_name_Hall 'P 1'
_cell_length_a 7.649
_cell_length_b 7.649
_cell_length_c 4.060
_cell_angle_alpha 90.00
_cell_angle_beta 90.00
_cell_angle_gamma 90.00
loop_
_atom_site_label
_atom_site_fract_x
_atom_site_fract_y
_atom_site_fract_z
Ga1 0.123 0.377 0.000
Ga2 0.377 0.877 0.000
Ga3 0.623 0.123 0.000
Ga4 0.877 0.623 0.000
Sb1 0.193 0.693 0.500
Sb2 0.307 0.193 0.500
Sb3 0.693 0.807 0.500
Sb4 0.807 0.307 0.500
P1 0.000 0.000 0.500
P2 0.500 0.500 0.500
# SG   P4/mbm (127)
# Volume   237.6 Å³/cell

## x
# Ga2Sb2P | the Alexandria database | GGA-PBE | relaxed
data_Ga2Sb2P
_symmetry_space_group_name_H-M 'P 1'
_symmetry_Int_Tables_number 1
_symmetry_space_group_name_Hall 'P 1'
_cell_length_a 8.605
_cell_length_b 8.605
_cell_length_c 8.605
_cell_angle_alpha 155.14
_cell_angle_beta 155.14
_cell_angle_gamma 35.45
loop_
_atom_site_label
_atom_site_fract_x
_atom_site_fract_y
_atom_site_fract_z
Ga1 0.250 0.750 0.500
Ga2 0.750 0.250 0.500
Sb1 0.092 0.092 0.000
Sb2 0.908 0.908 0.000
P1 0.500 0.500 0.000
# SG   I4/mmm (139)
# Volume   112.5 Å³/cell

The least stable of them is x.

## w
# GaSb3P | the Alexandria database | GGA-PBE | relaxed
data_GaSb3P
_symmetry_space_group_name_H-M 'P 1'
_symmetry_Int_Tables_number 1
_symmetry_space_group_name_Hall 'P 1'
_cell_length_a 5.254
_cell_length_b 5.254
_cell_length_c 5.254
_cell_angle_alpha 90.00
_cell_angle_beta 90.00
_cell_angle_gamma 90.00
loop_
_atom_site_label
_atom_site_fract_x
_atom_site_fract_y
_atom_site_fract_z
Ga1 0.000 0.000 0.000
Sb1 0.000 0.500 0.500
Sb2 0.500 0.000 0.500
Sb3 0.500 0.500 0.000
P1 0.500 0.500 0.500
# SG   Pm-3m (221)
# Volume   145.0 Å³/cell

## x
# GaSb3P | the Alexandria database | GGA-PBE | relaxed
data_GaSb3P
_symmetry_space_group_name_H-M 'P 1'
_symmetry_Int_Tables_number 1
_symmetry_space_group_name_Hall 'P 1'
_cell_length_a 5.243
_cell_length_b 5.243
_cell_length_c 5.243
_cell_angle_alpha 90.00
_cell_angle_beta 90.00
_cell_angle_gamma 90.00
loop_
_atom_site_label
_atom_site_fract_x
_atom_site_fract_y
_atom_site_fract_z
Ga1 0.000 0.000 0.000
Sb1 0.000 0.000 0.500
Sb2 0.000 0.500 0.000
Sb3 0.500 0.000 0.000
P1 0.500 0.500 0.500
# SG   Pm-3m (221)
# Volume   144.1 Å³/cell

The least stable of them is x.